First-principles (PBE) data for Sn2PAu after structural relaxation, as listed in the Alexandria database.

The value obtained for the total energy is -50.34 eV per cell. The calculation puts the density at 8.43 g cm⁻³. For the total magnetic moment, the calculation gives 0.0 μB per cell.

The structure belongs to space group R3m (No. 160, hexagonal axes); the cell edges are 3.8172, 3.8172 and 21.7969 Å and the angles 90.00°, 90.00° and 120.00°. The asymmetric unit holds Sn at (0.0000, 0.0000, 0.0000), Sn at (0.0000, 0.0000, 0.1774), P at (0.0000, 0.0000, 0.5883) and Au at (0.0000, 0.0000, 0.4192).

First-principles (PBE) data for SrHgIr2 after structural relaxation, as listed in the Alexandria database.

The value obtained for the total energy is -18.70 eV per cell. The calculation puts the density at 13.75 g cm⁻³. For the total magnetic moment, the calculation gives 0.0 μB per cell.

The structure belongs to space group P4mm (No. 99); the cell edges are 3.067, 3.067 and 8.635 Å and the angles 90.00°, 90.00° and 90.00°. The asymmetric unit holds Sr at (0.000, 0.000, 0.000), Hg at (0.500, 0.500, 0.298), Ir at (0.000, 0.000, 0.551) and Ir at (0.500, 0.500, 0.721).

First-principles (PBE) data for PmYH4 after structural relaxation, as listed in the Alexandria database.

The value obtained for the total energy is -115.00 eV per cell. The calculation puts the density at 5.30 g cm⁻³. For the total magnetic moment, the calculation gives 0.0 μB per cell.

The structure belongs to space group I4_1/amd (No. 141, origin choice 2); the cell edges are 5.295, 5.295 and 10.639 Å and the angles 90.00°, 90.00° and 90.00°. The asymmetric unit holds Pm at (0.000, 0.250, 0.375), Y at (0.000, 0.250, 0.875) and H at (0.240, 0.000, 0.000).

First-principles (PBE) data for Rb3Sc2Br9 after structural relaxation, as listed in the Alexandria database.

The calculation puts the density at 3.51 g cm⁻³. For the total magnetic moment, the calculation gives 0.0 μB per cell. The uncorrected formation energy comes out at -1.766 eV/atom.

The structure belongs to space group P6_3/mmc (No. 194); the cell edges are 7.7011, 7.7011 and 19.6002 Å and the angles 90.00°, 90.00° and 120.00°. The asymmetric unit holds Rb at (0.0000, 0.0000, 0.2500), Rb at (0.3333, 0.6667, 0.0657), Sc at (0.3333, 0.6667, 0.6567), Br at (0.0188, 0.5094, 0.7500) and Br at (0.1689, 0.3379, 0.5885).

First-principles (PBE) data for K5In3 after structural relaxation, as listed in the Alexandria database.

The value obtained for the total energy is -26.74 eV per cell. The calculation puts the density at 2.60 g cm⁻³. For the total magnetic moment, the calculation gives 0.0 μB per cell.

The structure belongs to space group Cmmm (No. 65); the cell edges are 10.942, 12.285 and 5.140 Å and the angles 90.00°, 90.00° and 90.00°. The asymmetric unit holds K at (0.000, 0.000, 0.000), K at (0.000, 0.259, 0.500), K at (0.250, 0.250, 0.000), In at (0.000, 0.500, 0.000) and In at (0.181, 0.500, 0.500).

First-principles (PBE) data for Ce5Cd2Tc2 after structural relaxation, as listed in the Alexandria database.

The value obtained for the total energy is -211.85 eV per cell. The calculation puts the density at 7.94 g cm⁻³. For the total magnetic moment, the calculation gives 5.0 μB per cell.

The structure belongs to space group Cmce (No. 64); the cell edges are 16.140, 7.575 and 7.674 Å and the angles 90.00°, 90.00° and 90.00°. The asymmetric unit holds Ce at (0.000, 0.000, 0.000), Ce at (0.114, 0.179, 0.322), Cd at (0.224, 0.000, 0.000) and Tc at (0.000, 0.139, 0.638).

First-principles (PBE) data for Rb2TlSe2 after structural relaxation, as listed in the Alexandria database.

The calculation puts the density at 5.10 g cm⁻³. For the total magnetic moment, the calculation gives 0.0 μB per cell. The uncorrected formation energy comes out at -0.554 eV/atom.

The structure belongs to space group P4/mbm (No. 127); the cell edges are 9.813, 9.813 and 3.609 Å and the angles 90.00°, 90.00° and 90.00°. The asymmetric unit holds Rb at (0.124, 0.376, 0.000), Tl at (0.000, 0.000, 0.000) and Se at (0.176, 0.676, 0.500).

First-principles (PBE) data for Cr3Co after structural relaxation, as listed in the Alexandria database.

The value obtained for the total energy is -140.89 eV per cell. The calculation puts the density at 7.86 g cm⁻³. For the total magnetic moment, the calculation gives 0.0 μB per cell.

The structure belongs to space group P6_3/mmc (No. 194); the cell edges are 5.0581, 5.0581 and 8.1956 Å and the angles 90.00°, 90.00° and 120.00°. The asymmetric unit holds Cr at (0.0000, 0.5000, 0.0000), Cr at (0.1690, 0.3379, 0.2500), Co at (0.0000, 0.0000, 0.0000) and Co at (0.3333, 0.6667, 0.7500).

First-principles (PBE) data for Sm6Co2SiBr3 after structural relaxation, as listed in the Alexandria database.

The calculation puts the density at 6.58 g cm⁻³. For the total magnetic moment, the calculation gives 0.0 μB per cell. The uncorrected formation energy comes out at -0.823 eV/atom.

The structure belongs to space group C2/m (No. 12); the cell edges are 19.101, 4.037 and 8.964 Å and the angles 90.00°, 109.99° and 90.00°. The asymmetric unit holds Sm at (0.023, 0.000, 0.241), Sm at (0.162, 0.500, 0.135), Sm at (0.179, 0.500, 0.559), Co at (0.171, 0.000, 0.347), Si at (0.000, 0.500, 0.000), Br at (0.000, 0.500, 0.500) and Br at (0.161, 0.000, 0.843).

First-principles (PBE) data for TcAuBr3 after structural relaxation, as listed in the Alexandria database.

The calculation puts the density at 6.49 g cm⁻³. For the total magnetic moment, the calculation gives 2.9 μB per cell. The uncorrected formation energy comes out at 0.416 eV/atom.

The structure belongs to space group Pm-3m (No. 221); the cell edges are 5.153, 5.153 and 5.153 Å and the angles 90.00°, 90.00° and 90.00°. The asymmetric unit holds Tc at (0.000, 0.000, 0.000), Au at (0.500, 0.500, 0.500) and Br at (0.000, 0.000, 0.500).

First-principles (PBE) data for BaTlHgPb after structural relaxation, as listed in the Alexandria database.

The value obtained for the total energy is -38.86 eV per cell. The calculation puts the density at 9.51 g cm⁻³. For the total magnetic moment, the calculation gives 0.0 μB per cell.

The structure belongs to space group F-43m (No. 216); the cell edges are 8.058, 8.058 and 8.058 Å and the angles 90.00°, 90.00° and 90.00°. The asymmetric unit holds Ba at (0.000, 0.000, 0.000), Tl at (0.250, 0.250, 0.750), Hg at (0.250, 0.250, 0.250) and Pb at (0.000, 0.000, 0.500).

First-principles (PBE) data for Cs2NaSeCl after structural relaxation, as listed in the Alexandria database.

The calculation puts the density at 2.59 g cm⁻³. For the total magnetic moment, the calculation gives 0.0 μB per cell. The uncorrected formation energy comes out at -1.221 eV/atom.

The structure belongs to space group P4/mmm (No. 123); the cell edges are 6.958, 6.958 and 5.347 Å and the angles 90.00°, 90.00° and 90.00°. The asymmetric unit holds Cs at (0.000, 0.500, 0.000), Na at (0.000, 0.000, 0.500), Se at (0.000, 0.000, 0.000) and Cl at (0.500, 0.500, 0.500).

First-principles (PBE) data for AcRhPb2 after structural relaxation, as listed in the Alexandria database.

The value obtained for the total energy is -60.84 eV per cell. The calculation puts the density at 11.13 g cm⁻³. For the total magnetic moment, the calculation gives 0.0 μB per cell.

The structure belongs to space group R-3m (No. 166, hexagonal axes); the cell edges are 4.7388, 4.7388 and 17.1329 Å and the angles 90.00°, 90.00° and 120.00°. The asymmetric unit holds Ac at (0.0000, 0.0000, 0.0000), Rh at (0.0000, 0.0000, 0.5000) and Pb at (0.0000, 0.0000, 0.2189).

First-principles (PBE) data for La2NiGe4Pd3 after structural relaxation, as listed in the Alexandria database.

The value obtained for the total energy is -57.65 eV per cell. The calculation puts the density at 8.11 g cm⁻³. For the total magnetic moment, the calculation gives 0.0 μB per cell.

The structure belongs to space group P-4m2 (No. 115); the cell edges are 4.365, 4.365 and 10.175 Å and the angles 90.00°, 90.00° and 90.00°. The asymmetric unit holds La at (0.000, 0.500, 0.247), Ni at (0.500, 0.500, 0.000), Ge at (0.000, 0.000, 0.500), Ge at (0.000, 0.500, 0.879), Ge at (0.500, 0.500, 0.500), Pd at (0.000, 0.000, 0.000) and Pd at (0.000, 0.500, 0.632).

First-principles (PBE) data for Ba2TmCrN4 after structural relaxation, as listed in the Alexandria database.

The calculation puts the density at 5.29 g cm⁻³. For the total magnetic moment, the calculation gives 0.0 μB per cell. The uncorrected formation energy comes out at -0.523 eV/atom.

The structure belongs to space group Fddd (No. 70, origin choice 2); the cell edges are 5.561, 11.664 and 21.340 Å and the angles 90.00°, 90.00° and 90.00°. The asymmetric unit holds Ba at (0.125, 0.125, 0.308), Tm at (0.125, 0.125, 0.125), Cr at (0.125, 0.125, 0.625) and N at (0.073, 0.283, 0.833).

First-principles (PBE) data for Cs2Te10Mo9 after structural relaxation, as listed in the Alexandria database.

The calculation puts the density at 6.40 g cm⁻³. For the total magnetic moment, the calculation gives 0.0 μB per cell. The uncorrected formation energy comes out at -0.445 eV/atom.

The structure belongs to space group R-3 (No. 148, hexagonal axes); the cell edges are 10.4472, 10.4472 and 39.6170 Å and the angles 90.00°, 90.00° and 120.00°. The asymmetric unit holds Cs at (0.0000, 0.0000, 0.0747), Cs at (0.0000, 0.0000, 0.1985), Te at (0.0000, 0.0000, 0.2966), Te at (0.0029, 0.3746, 0.1954), Te at (0.0047, 0.3727, 0.3102), Te at (0.0089, 0.3748, 0.0782), Mo at (0.0143, 0.1557, 0.5876), Mo at (0.0172, 0.1548, 0.4703) and Mo at (0.0178, 0.1545, 0.3539).

First-principles (PBE) data for La4Tl3Ag2 after structural relaxation, as listed in the Alexandria database.

The value obtained for the total energy is -35.15 eV per cell. The calculation puts the density at 8.58 g cm⁻³. For the total magnetic moment, the calculation gives 0.0 μB per cell.

The structure belongs to space group P-3m1 (No. 164); the cell edges are 5.3411, 5.3411 and 10.8390 Å and the angles 90.00°, 90.00° and 120.00°. The asymmetric unit holds La at (0.0000, 0.0000, 0.1695), La at (0.3333, 0.6667, 0.6176), Tl at (0.0000, 0.0000, 0.5000), Tl at (0.3333, 0.6667, 0.9533) and Ag at (0.3333, 0.6667, 0.3160).

First-principles (PBE) data for RbGa3Sb3 after structural relaxation, as listed in the Alexandria database.

The calculation puts the density at 4.72 g cm⁻³. For the total magnetic moment, the calculation gives 0.0 μB per cell. The uncorrected formation energy comes out at -0.179 eV/atom.

The structure belongs to space group Pm-3n (No. 223); the cell edges are 7.746, 7.746 and 7.746 Å and the angles 90.00°, 90.00° and 90.00°. The asymmetric unit holds Rb at (0.000, 0.000, 0.000), Ga at (0.000, 0.250, 0.500) and Sb at (0.000, 0.500, 0.250).

First-principles (PBE) data for Pu7RuRh4 after structural relaxation, as listed in the Alexandria database.

The value obtained for the total energy is -281.44 eV per cell. The calculation puts the density at 15.10 g cm⁻³. For the total magnetic moment, the calculation gives 7.4 μB per cell.

The structure belongs to space group C2/m (No. 12); the cell edges are 10.513, 5.294 and 8.804 Å and the angles 90.00°, 94.71° and 90.00°. The asymmetric unit holds Pu at (0.000, 0.000, 0.000), Pu at (0.005, 0.500, 0.675), Pu at (0.239, 0.000, 0.571), Pu at (0.248, 0.500, 0.132), Ru at (0.000, 0.500, 0.000), Rh at (0.031, 0.000, 0.346) and Rh at (0.248, 0.500, 0.798).

First-principles (PBE) data for CrCuRh after structural relaxation, as listed in the Alexandria database.

The value obtained for the total energy is -20.78 eV per cell. The calculation puts the density at 9.38 g cm⁻³. For the total magnetic moment, the calculation gives 0.0 μB per cell.

The structure belongs to space group P3m1 (No. 156); the cell edges are 2.6340, 2.6340 and 6.4334 Å and the angles 90.00°, 90.00° and 120.00°. The asymmetric unit holds Cr at (0.0000, 0.0000, 0.0000), Cu at (0.6667, 0.3333, 0.3317) and Rh at (0.3333, 0.6667, 0.6854).